# NiSnTeO5 (PBE+U, relaxed)
data_NiSnTeO5
_cell_length_a 7.091
_cell_length_b 9.844
_cell_length_c 7.124
_cell_angle_alpha 90.00
_cell_angle_beta 110.26
_cell_angle_gamma 90.00
_space_group_name_H-M_alt 'C 1 2/c 1'
_space_group_IT_number 15
_space_group_name_Hall '-C 2yc'
loop_
_atom_site_label
_atom_site_type_symbol
_atom_site_fract_x
_atom_site_fract_y
_atom_site_fract_z
Ni1 Ni 0.000 0.005 0.250
Sn1 Sn 0.250 0.250 0.000
Te1 Te 0.000 0.491 0.250
O1 O 0.000 0.195 0.750
O2 O 0.028 0.354 0.072
O3 O 0.185 0.053 0.096
# total energy	-0.197	Ha/atom
# ρ	5.5	g/cm³